# 1
## Pr6Pt2N (GGA-PBE)

Data for a relaxed Pr6Pt2N crystal.

Cell and atoms, written as extended XYZ:
```
18
Lattice="-4.657 4.180 -2.419 -4.916 -5.485 -0.014 -2.864 2.542 9.362" Properties=species:S:1:pos:R:3 pbc="T T T"
N -4.787 -0.653 -1.217
N -1.432 1.271 4.681
Pr -8.194 -0.675 7.991
Pr -5.314 3.055 2.455
Pr -3.922 0.450 4.827
Pr -8.514 0.787 2.102
Pr -5.184 1.381 8.344
Pr -7.388 1.998 5.618
Pr -1.504 1.006 2.152
Pr -10.933 0.231 4.776
Pr -4.242 1.912 -1.062
Pr -7.123 -1.818 4.474
Pr -7.253 -0.144 -1.415
Pr -5.049 -0.761 1.311
Pt -7.713 -1.965 1.003
Pt -5.369 -1.168 6.898
Pt -4.723 3.201 5.926
Pt -7.067 2.405 0.031
```

Summary:
* density of states at the Fermi level: 16.74 states/eV/cell
* theoretical density: 8.304 Mg/m³
* space group: P2_1/c (14)
* energy: -6.27 eV per atom



# 2
## LiInCu2 (GGA-PBE)

Data for a relaxed LiInCu2 crystal.

Cell and atoms, written as extended XYZ:
```
4
Lattice="-0.128 8.673 1.105 -2.633 7.954 2.502 -0.048 7.810 3.932" Properties=species:S:1:pos:R:3 pbc="T T T"
Cu -1.396 12.143 3.746
Cu -0.009 0.076 0.023
Li -2.107 18.328 5.654
In -0.702 6.109 1.885
```

Summary:
* ΔE_f: 0.202 eV/atom
* density of states at the Fermi level: 1.66 states/eV/cell
* theoretical density: 6.364 Mg/m³
* space group: R-3m (166)